Entry 1:
# BaNpNO2 (PBE, optimized geometry)
data_BaNpNO2
_chemical_formula_sum 'Ba1 Np1 N1 O2'
_symmetry_space_group_name_H-M 'P 4/m m m'
_symmetry_Int_Tables_number 123
_symmetry_space_group_name_Hall '-P 4 2'
_cell_length_a 4.421
_cell_length_b 4.421
_cell_length_c 4.260
_cell_angle_alpha 90.00
_cell_angle_beta 90.00
_cell_angle_gamma 90.00
loop_
_atom_site_label
_atom_site_type_symbol
_atom_site_fract_x
_atom_site_fract_y
_atom_site_fract_z
Ba1 Ba 0.000 0.000 0.000
Np1 Np 0.500 0.500 0.500
N1 N 0.500 0.500 0.000
O1 O 0.000 0.500 0.500
# **ΔE_f (raw)**: -2.332 eV/atom
# **ρ**: 8382 kg/m³

=====

Entry 2:
# BaNp2NO5 (PBE, optimized geometry)
data_BaNp2NO5
_chemical_formula_sum 'Ba1 Np2 N1 O5'
_symmetry_space_group_name_H-M 'P 4/m m m'
_symmetry_Int_Tables_number 123
_symmetry_space_group_name_Hall '-P 4 2'
_cell_length_a 4.289
_cell_length_b 4.289
_cell_length_c 8.441
_cell_angle_alpha 90.00
_cell_angle_beta 90.00
_cell_angle_gamma 90.00
loop_
_atom_site_label
_atom_site_type_symbol
_atom_site_fract_x
_atom_site_fract_y
_atom_site_fract_z
Ba1 Ba 0.000 0.000 0.000
Np1 Np 0.500 0.500 0.261
N1 N 0.500 0.500 0.500
O1 O 0.000 0.500 0.230
O2 O 0.500 0.500 0.000
# **ΔE_f (raw)**: -2.545 eV/atom
# **ρ**: 7541 kg/m³

=====

Entry 3:
# Ba2NpOs2N6 (PBE, optimized geometry)
data_Ba2NpOs2N6
_chemical_formula_sum 'Ba6 Np3 Os6 N18'
_symmetry_space_group_name_H-M 'R -3 m'
_symmetry_Int_Tables_number 166
_symmetry_space_group_name_Hall '-R 3 2"'
_cell_length_a 6.1985
_cell_length_b 6.1985
_cell_length_c 17.7448
_cell_angle_alpha 90.00
_cell_angle_beta 90.00
_cell_angle_gamma 120.00
loop_
_atom_site_label
_atom_site_type_symbol
_atom_site_fract_x
_atom_site_fract_y
_atom_site_fract_z
Ba1 Ba 0.0000 0.0000 0.2252
Np1 Np 0.0000 0.0000 0.0000
Os1 Os 0.0000 0.0000 0.4328
N1 N 0.0003 0.5001 0.2595
# **ΔE_f (raw)**: -0.476 eV/atom
# **ρ**: 8236 kg/m³

=====

Entry 4:
# Ba3NpP2N6 (PBE, optimized geometry)
data_Ba3NpP2N6
_chemical_formula_sum 'Ba3 Np1 P2 N6'
_symmetry_space_group_name_H-M 'P -3 m 1'
_symmetry_Int_Tables_number 164
_symmetry_space_group_name_Hall '-P 3 2"'
_cell_length_a 5.8861
_cell_length_b 5.8861
_cell_length_c 7.1274
_cell_angle_alpha 90.00
_cell_angle_beta 90.00
_cell_angle_gamma 120.00
loop_
_atom_site_label
_atom_site_type_symbol
_atom_site_fract_x
_atom_site_fract_y
_atom_site_fract_z
Ba1 Ba 0.0000 0.0000 0.0000
Ba2 Ba 0.3333 0.6667 0.6783
Np1 Np 0.0000 0.0000 0.5000
P1 P 0.3333 0.6667 0.2305
N1 N 0.1783 0.3567 0.3200
# **ΔE_f (raw)**: -0.895 eV/atom
# **ρ**: 6173 kg/m³